# 1
DFT (PBE) results for a relaxed Tb2YCl crystal.

The value obtained for the uncorrected formation energy is -0.650 eV/atom.

The structure belongs to space group R-3m (No. 166, hexagonal axes); the cell edges are 3.6190, 3.6190 and 29.9768 Å and the angles 90.00°, 90.00° and 120.00°. The asymmetric unit holds Tb at (0.0000, 0.0000, 0.2392), Y at (0.0000, 0.0000, 0.0000) and Cl at (0.0000, 0.0000, 0.5000).

# 2
DFT (PBE) results for a relaxed Ca2MgHg crystal.

As for the energy above the most stable polymorph in this dataset: 51 kJ/mol of formula units.

The structure belongs to space group I-4m2 (No. 119); the cell edges are 4.702, 4.702 and 10.728 Å and the angles 90.00°, 90.00° and 90.00°. The asymmetric unit holds Ca at (0.000, 0.000, 0.000), Ca at (0.000, 0.500, 0.250), Mg at (0.000, 0.000, 0.500) and Hg at (0.000, 0.500, 0.750).

# 3
DFT (PBE) results for a relaxed Er5AgTe8 crystal.

The value obtained for the uncorrected formation energy is -1.188 eV/atom.

The structure belongs to space group F-43m (No. 216); the cell edges are 12.624, 12.624 and 12.624 Å and the angles 90.00°, 90.00° and 90.00°. The asymmetric unit holds Er at (0.000, 0.000, 0.000), Er at (0.119, 0.119, 0.619), Ag at (0.250, 0.250, 0.250), Te at (0.120, 0.120, 0.380) and Te at (0.134, 0.134, 0.866).

# 4
DFT (PBE) results for a relaxed Ni17Sb2 crystal.

The value obtained for the uncorrected formation energy is 0.108 eV/atom.

The structure belongs to space group R-3m (No. 166, hexagonal axes); the cell edges are 8.1644, 8.1644 and 12.1702 Å and the angles 90.00°, 90.00° and 120.00°. The asymmetric unit holds Ni at (0.0000, 0.0000, 0.1012), Ni at (0.0000, 0.3038, 0.0000), Ni at (0.0000, 0.5000, 0.5000), Ni at (0.0028, 0.5014, 0.1551) and Sb at (0.0000, 0.0000, 0.3327).

# 5
DFT (PBE) results for a relaxed Tc2As3 crystal.

The calculation puts the electronic total energy at -0.2558 Ha/atom.

The structure belongs to space group Fdd2 (No. 43); the cell edges are 10.727, 13.862 and 4.615 Å and the angles 90.00°, 90.00° and 90.00°. The asymmetric unit holds Tc at (0.010, 0.168, 0.000), As at (0.000, 0.000, 0.783) and As at (0.105, 0.179, 0.505).

# 6
DFT (PBE) results for a relaxed CsTl7Au2 crystal.

The calculation puts the electronic total energy at -0.0880 Ha/atom.

The structure belongs to space group Cmmm (No. 65); the cell edges are 10.241, 15.649 and 4.381 Å and the angles 90.00°, 90.00° and 90.00°. The asymmetric unit holds Cs at (0.000, 0.000, 0.000), Tl at (0.000, 0.327, 0.000), Tl at (0.000, 0.500, 0.500), Tl at (0.239, 0.361, 0.500) and Au at (0.000, 0.205, 0.500).

# 7
DFT (PBE) results for a relaxed Mg2ZnPtO crystal.

The value obtained for the uncorrected formation energy is -0.767 eV/atom.

The structure belongs to space group P4/mmm (No. 123); the cell edges are 4.017, 4.017 and 4.678 Å and the angles 90.00°, 90.00° and 90.00°. The asymmetric unit holds Mg at (0.000, 0.500, 0.000), Zn at (0.000, 0.000, 0.500), Pt at (0.500, 0.500, 0.500) and O at (0.500, 0.500, 0.000).

# 8
DFT (PBE) results for a relaxed Pr3AgGe crystal.

The calculation puts the electronic total energy at -0.1739 Ha/atom.

The structure belongs to space group P-1 (No. 2); the cell edges are 4.326, 7.406 and 9.419 Å and the angles 90.25°, 90.29° and 106.65°. The asymmetric unit holds Pr at (0.045, 0.097, 0.337), Pr at (0.244, 0.488, 0.677), Pr at (0.403, 0.818, 0.110), Ag at (0.195, 0.382, 0.073) and Ge at (0.392, 0.785, 0.431).

# 9
DFT (PBE) results for a relaxed MgP2RuCl crystal.

The value obtained for the uncorrected formation energy is 1.037 eV/atom. As for the energy above the most stable polymorph in this dataset: 428 kJ/mol of formula units.

The structure belongs to space group P4/mmm (No. 123); the cell edges are 4.821, 4.821 and 4.636 Å and the angles 90.00°, 90.00° and 90.00°. The asymmetric unit holds Mg at (0.000, 0.000, 0.000), P at (0.000, 0.500, 0.000), Ru at (0.500, 0.500, 0.500) and Cl at (0.000, 0.000, 0.500).

# 10
DFT (PBE) results for a relaxed CePu2Ge2Ir2 crystal.

The calculation puts the electronic total energy at -0.3390 Ha/atom.

The structure belongs to space group R-3m (No. 166, hexagonal axes); the cell edges are 4.2637, 4.2637 and 25.6453 Å and the angles 90.00°, 90.00° and 120.00°. The asymmetric unit holds Ce at (0.0000, 0.0000, 0.0000), Pu at (0.0000, 0.0000, 0.1517), Ge at (0.0000, 0.0000, 0.2655) and Ir at (0.0000, 0.0000, 0.4312).

# 11
DFT (PBE) results for a relaxed Ni7PdRh2 crystal.

The calculation puts the electronic total energy at -0.2202 Ha/atom.

The structure belongs to space group P-1 (No. 2); the cell edges are 4.446, 4.509 and 6.823 Å and the angles 102.91°, 108.43° and 99.61°. The asymmetric unit holds Ni at (0.000, 0.000, 0.000), Ni at (0.199, 0.591, 0.192), Ni at (0.396, 0.190, 0.394), Ni at (0.402, 0.704, 0.903), Pd at (0.000, 0.500, 0.500) and Rh at (0.211, 0.108, 0.712).

# 12
DFT (PBE) results for a relaxed MgInBRu2 crystal.

The calculation puts the electronic total energy at -0.2188 Ha/atom.

The structure belongs to space group P4/mmm (No. 123); the cell edges are 4.175, 4.175 and 4.275 Å and the angles 90.00°, 90.00° and 90.00°. The asymmetric unit holds Mg at (0.000, 0.000, 0.000), In at (0.500, 0.500, 0.000), B at (0.000, 0.000, 0.500) and Ru at (0.000, 0.500, 0.500).